NaCoCl4 | GGA-PBE | relaxed

a b c (Å): 5.8832 6.9662 9.2299
angles (deg): 119.22 116.74 69.65
With the nearest neighbours (Å) after each atom.
Sites, in units of the cell vectors:
Na 0.4388 0.6888 0.3776  6 Cl 2.78-3.00
Na 0.5612 0.3112 0.6224  6 Cl 2.78-3.00
Co 0.3059 0.0559 0.1117  6 Cl 2.25-2.28
Co 0.6941 0.9441 0.8883  6 Cl 2.25-2.28
Cl 0.9422 0.1386 0.8999  2 Co 2.25-2.28
Cl 0.8154 0.6291 0.6788  1 Co 2.25
Cl 0.4578 0.7614 0.8999  2 Co 2.25-2.28
Cl 0.3634 0.0496 0.6788  1 Co 2.25
Cl 0.6366 0.9504 0.3212  1 Co 2.25
Cl 0.5422 0.2386 0.1001  2 Co 2.25-2.28
Cl 0.1846 0.3709 0.3212  1 Co 2.25
Cl 0.0578 0.8614 0.1001  2 Co 2.25-2.28

Its symmetry is C2/c, No. 15. For the relative energy among the computed polymorphs, the calculation gives 0 meV per atom. As for the density: 2.55 g/cm3.

=====

Ho3Np2Se8 | GGA-PBE | relaxed

a b c (Å): 6.8915 8.1063 8.3662
angles (deg): 118.98 106.54 90.00
With the nearest neighbours (Å) after each atom.
Sites, in units of the cell vectors:
Ho 0.5000 0.0000 0.0000  6 Se 2.84
Ho 0.0000 0.2595 0.0000  6 Se 2.81-2.88
Ho 0.0000 0.7405 0.0000  6 Se 2.81-2.88
Np 0.3339 0.2578 0.5156  6 Se 2.81-2.93
Np 0.6661 0.7422 0.4844  6 Se 2.81-2.93
Se 0.8888 0.6116 0.2233  2 Ho 2.81, 1 Np 2.81
Se 0.1112 0.3884 0.7767  2 Ho 2.81, 1 Np 2.81
Se 0.9203 0.1170 0.2339  3 Ho 2.84-2.88, 1 Np 2.92
Se 0.0797 0.8830 0.7661  3 Ho 2.84-2.88, 1 Np 2.92
Se 0.5858 0.6386 0.7519  2 Ho 2.84-2.85, 2 Np 2.92-2.93
Se 0.5858 0.1134 0.7519  2 Ho 2.84-2.85, 2 Np 2.92-2.93
Se 0.4142 0.8866 0.2481  2 Ho 2.84-2.85, 2 Np 2.92-2.93
Se 0.4142 0.3614 0.2481  2 Ho 2.84-2.85, 2 Np 2.92-2.93

Its symmetry is C2/m, No. 12. Its total energy is -86.5 eV per cell. As for the density: 6.87 g/cm3.

=====

Lu2MgSe4 | GGA-PBE | relaxed

a b c (Å): 8.1482 8.1482 8.1482
angles (deg): 60.00 60.00 60.00
With the nearest neighbours (Å) after each atom.
Sites, in units of the cell vectors:
Lu 0.6250 0.1250 0.6250  6 Se 2.82
Lu 0.6250 0.6250 0.6250  6 Se 2.82
Lu 0.1250 0.6250 0.6250  6 Se 2.82
Lu 0.6250 0.6250 0.1250  6 Se 2.82
Mg 0.2500 0.2500 0.2500  4 Se 2.61
Mg 0.0000 0.0000 0.0000  4 Se 2.61
Se 0.8692 0.8692 0.3925  1 Mg 2.61, 3 Lu 2.82
Se 0.3808 0.8575 0.3808  1 Mg 2.61, 3 Lu 2.82
Se 0.3808 0.3808 0.8575  1 Mg 2.61, 3 Lu 2.82
Se 0.8692 0.8692 0.8692  1 Mg 2.61, 3 Lu 2.82
Se 0.8692 0.3925 0.8692  1 Mg 2.61, 3 Lu 2.82
Se 0.8575 0.3808 0.3808  1 Mg 2.61, 3 Lu 2.82
Se 0.3808 0.3808 0.3808  1 Mg 2.61, 3 Lu 2.82
Se 0.3925 0.8692 0.8692  1 Mg 2.61, 3 Lu 2.82

Its symmetry is Fd-3m, No. 227. For the relative energy among the computed polymorphs, the calculation gives 0 meV per atom. As for the density: 5.99 g/cm3.

=====

Cs2Be2Pt | GGA-PBE | relaxed

a b c (Å): 6.6689 6.6689 6.1565
angles (deg): 90.00 90.00 90.00
With the nearest neighbours (Å) after each atom.
Sites, in units of the cell vectors:
Cs 0.1800 0.6800 0.5000  2 Be 3.18, 5 Cs 3.40-3.46
Cs 0.6800 0.8200 0.5000  2 Be 3.18, 5 Cs 3.40-3.46
Cs 0.8200 0.3200 0.5000  2 Be 3.18, 5 Cs 3.40-3.46
Cs 0.3200 0.1800 0.5000  2 Be 3.18, 5 Cs 3.40-3.46
Be 0.2649 0.7649 0.0000  2 Pt 2.36
Be 0.7649 0.7351 0.0000  2 Pt 2.36
Be 0.7351 0.2351 0.0000  2 Pt 2.36
Be 0.2351 0.2649 0.0000  2 Pt 2.36
Pt 0.0000 0.0000 0.0000  4 Be 2.36
Pt 0.5000 0.5000 0.0000  4 Be 2.36

Its symmetry is P4/mbm, No. 127. The formation enthalpy at 0 K comes out at 478 meV per atom. As for the density: 5.81 g/cm3.

=====

| no. | magnetization (μB/cell) |
| --- | --- |
| 1 | 0.2 |
| 2 | 7.0 |
| 3 | 0.0 |
| 4 | 0.0 |